Here is an optimized crystal structure of RbNdCo2F8 from Alexandria. Energies are from PBE+U.

Calculated values
Its density of states at the Fermi level is 0.00 states/eV/cell. As for the space group: P-1 (2). Its raw total energy is -5.401 eV per atom.

```
data_RbNdCo2F8
_symmetry_space_group_name_H-M 'P 1'
_symmetry_Int_Tables_number 1
_symmetry_space_group_name_Hall 'P 1'
_cell_length_a 4.2196
_cell_length_b 5.7637
_cell_length_c 8.1154
_cell_angle_alpha 80.18
_cell_angle_beta 84.19
_cell_angle_gamma 77.29
loop_
_atom_site_label
_atom_site_fract_x
_atom_site_fract_y
_atom_site_fract_z
F1 0.9293 0.3128 0.7501
Nd1 0.0000 0.0000 0.0000
F2 0.0707 0.6872 0.2499
F3 0.5616 0.7946 0.0787
F4 0.5753 0.6939 0.5050
F5 0.4247 0.3061 0.4950
Co1 0.5650 0.5522 0.2944
F6 0.1781 0.7364 0.8085
Co2 0.4350 0.4478 0.7056
Rb1 0.0000 0.0000 0.5000
F7 0.8219 0.2636 0.1915
F8 0.4384 0.2054 0.9213
```